{"formula": "ScCuW2O8", "functional": "GGA+U", "state": "optimized geometry", "vol_a3_per_atom": 11.93, "e_tot_ev_per_cell": -179.3, "lattice": [[4.817, -5.870, 0.000], [4.817, 5.870, 0.000], [-0.144, 0.000, 5.062]], "species": ["Sc", "Sc", "Cu", "Cu", "W", "W", "W", "W", "O", "O", "O", "O", "O", "O", "O", "O", "O", "O", "O", "O", "O", "O", "O", "O"], "fractional_positions": [[0.169, 0.831, 0.750], [0.831, 0.169, 0.250], [0.335, 0.665, 0.250], [0.665, 0.335, 0.750], [0.172, 0.341, 0.756], [0.341, 0.172, 0.256], [0.659, 0.828, 0.744], [0.828, 0.659, 0.244], [0.054, 0.697, 0.404], [0.086, 0.201, 0.072], [0.192, 0.570, 0.897], [0.201, 0.086, 0.572], [0.303, 0.946, 0.096], [0.307, 0.409, 0.441], [0.409, 0.307, 0.941], [0.430, 0.808, 0.603], [0.570, 0.192, 0.397], [0.591, 0.693, 0.059], [0.693, 0.591, 0.559], [0.697, 0.054, 0.904], [0.799, 0.914, 0.428], [0.808, 0.430, 0.103], [0.914, 0.799, 0.928], [0.946, 0.303, 0.596]]}

***

{"formula": "MnTl3P2O8", "functional": "GGA+U", "state": "optimized geometry", "vol_a3_per_atom": 15.72, "e_tot_ev_per_cell": -88.3, "lattice": [[5.519, 0.000, 0.000], [-2.759, 4.779, 0.000], [0.000, 0.000, 8.343]], "species": ["Mn", "Tl", "Tl", "Tl", "P", "P", "O", "O", "O", "O", "O", "O", "O", "O"], "fractional_positions": [[0.000, 0.000, 0.000], [0.000, 0.000, 0.500], [0.333, 0.667, 0.272], [0.667, 0.333, 0.728], [0.333, 0.667, 0.795], [0.667, 0.333, 0.205], [0.178, 0.355, 0.850], [0.178, 0.822, 0.850], [0.333, 0.667, 0.609], [0.355, 0.178, 0.150], [0.645, 0.822, 0.850], [0.667, 0.333, 0.391], [0.822, 0.178, 0.150], [0.822, 0.645, 0.150]]}